# 1
This record from the Alexandria database describes a relaxed structure of MnCrO4. The functional is GGA+U. Values from VASP.

Values from the calculation:
* total energy: -7.189 eV per atom

Structure (Quantum ESPRESSO input):
```
&SYSTEM
  ibrav = 0, nat = 24, ntyp = 3
/
ATOMIC_SPECIES
O 16.00 O.upf
Mn 54.94 Mn.upf
Cr 52.00 Cr.upf
CELL_PARAMETERS angstrom
5.144 0.000 0.000
0.000 6.312 0.000
0.000 0.000 10.644
ATOMIC_POSITIONS angstrom
O 1.026 4.734 4.037
O 0.855 1.578 4.686
O 4.117 1.578 6.607
O 1.262 2.914 1.760
O 3.834 3.398 3.562
O 3.882 6.070 8.884
O 1.310 2.914 7.082
O 3.834 6.070 3.562
O 4.289 4.734 5.958
O 3.598 1.578 1.285
O 1.717 1.578 10.008
O 1.310 0.242 7.082
O 3.427 4.734 0.636
O 1.262 0.242 1.760
O 3.882 3.398 8.884
O 1.546 4.734 9.359
Mn 2.880 1.578 8.283
Mn 2.264 4.734 2.361
Mn 4.835 1.578 2.961
Mn 0.308 4.734 7.683
Cr 3.171 4.734 9.640
Cr 1.972 1.578 1.005
Cr 0.600 1.578 6.327
Cr 4.544 4.734 4.318
```

***

# 2
This record from the Alexandria database describes a relaxed structure of MnCrO4. The functional is GGA+U. Values from VASP.

Values from the calculation:
* D(E_F): 0.00 states/eV/cell
* total energy: -7.183 eV per atom

Structure (Quantum ESPRESSO input):
```
&SYSTEM
  ibrav = 0, nat = 6, ntyp = 3
/
ATOMIC_SPECIES
O 16.00 O.upf
Cr 52.00 Cr.upf
Mn 54.94 Mn.upf
CELL_PARAMETERS angstrom
5.488 0.000 0.000
0.000 5.488 0.000
-2.744 -2.744 4.341
ATOMIC_POSITIONS angstrom
O -1.238 -0.571 3.378
O 2.173 3.982 0.962
O 3.315 1.506 0.962
O 1.238 0.571 3.378
Cr 2.744 2.744 0.000
Mn 2.744 0.000 2.170
```

***

# 3
This record from the Alexandria database describes a relaxed structure of MnCrO4. The functional is GGA+U. Values from VASP.

Values from the calculation:
* total energy: -7.191 eV per atom

Structure (Quantum ESPRESSO input):
```
&SYSTEM
  ibrav = 0, nat = 12, ntyp = 3
/
ATOMIC_SPECIES
O 16.00 O.upf
Cr 52.00 Cr.upf
Mn 54.94 Mn.upf
CELL_PARAMETERS angstrom
4.695 1.337 -2.212
0.227 4.618 -2.348
-0.890 -0.639 7.030
ATOMIC_POSITIONS angstrom
O 2.853 4.922 -0.994
O 1.180 0.394 3.464
O 3.482 1.355 3.785
O 1.609 3.395 3.400
O 0.883 2.092 1.051
O 0.550 3.960 -1.315
O 3.150 3.223 1.419
O 2.424 1.921 -0.931
Cr 2.189 1.844 2.514
Cr 1.844 3.472 -0.044
Mn 1.354 0.602 -0.010
Mn 2.679 4.714 2.479
```

***

# 4
This record from the Alexandria database describes a relaxed structure of MnCr3O. The functional is GGA+U. Values from VASP.

Values from the calculation:
* D(E_F): 3.38 states/eV/cell
* total energy: -5.568 eV per atom

Structure (Quantum ESPRESSO input):
```
&SYSTEM
  ibrav = 0, nat = 5, ntyp = 3
/
ATOMIC_SPECIES
Cr 52.00 Cr.upf
Mn 54.94 Mn.upf
O 16.00 O.upf
CELL_PARAMETERS angstrom
-2.888 -2.732 -2.742
3.596 -0.630 -3.161
1.431 -3.932 2.411
ATOMIC_POSITIONS angstrom
Cr -1.444 -1.366 -1.371
Cr 1.798 -0.315 -1.581
Cr 0.715 -1.966 1.205
Mn 0.000 0.000 0.000
O 1.069 -3.647 -1.746
```

***

# 5
This record from the Alexandria database describes a relaxed structure of Mn2CrO4. The functional is GGA+U. Values from VASP.

Values from the calculation:
* total energy: -7.834 eV per atom

Structure (Quantum ESPRESSO input):
```
&SYSTEM
  ibrav = 0, nat = 14, ntyp = 3
/
ATOMIC_SPECIES
O 16.00 O.upf
Cr 52.00 Cr.upf
Mn 54.94 Mn.upf
CELL_PARAMETERS angstrom
6.017 -0.018 0.008
-2.908 5.383 -0.021
-0.105 -3.306 5.027
ATOMIC_POSITIONS angstrom
O -1.329 2.976 1.946
O -0.053 0.189 2.103
O 3.021 -0.022 2.047
O 1.348 0.952 4.312
O -1.322 1.118 4.405
O 1.341 2.810 1.853
O 2.981 -1.644 4.176
O -0.094 -1.433 4.231
Cr 1.464 -0.727 3.139
Cr 0.010 1.964 3.129
Mn 0.062 3.617 0.616
Mn 3.087 5.353 0.005
Mn 3.055 1.863 1.234
Mn 4.473 -0.736 3.143
```

***

# 6
This record from the Alexandria database describes a relaxed structure of MnCr5O8. The functional is GGA+U. Values from VASP.

Values from the calculation:
* D(E_F): 9.86 states/eV/cell
* total energy: -7.902 eV per atom

Structure (Quantum ESPRESSO input):
```
&SYSTEM
  ibrav = 0, nat = 14, ntyp = 3
/
ATOMIC_SPECIES
O 16.00 O.upf
Cr 52.00 Cr.upf
Mn 54.94 Mn.upf
CELL_PARAMETERS angstrom
5.268 0.000 3.041
1.756 4.967 3.041
0.000 0.000 6.083
ATOMIC_POSITIONS angstrom
O 6.052 4.280 7.766
O 3.699 4.280 9.124
O 5.268 2.061 9.124
O 2.731 1.931 4.730
O 5.074 1.931 6.083
O 2.731 1.931 7.436
O 6.052 4.280 10.483
O 3.512 4.140 6.083
Cr 1.757 3.104 6.083
Cr 4.389 3.104 4.563
Cr 3.512 0.622 6.083
Cr 4.389 3.104 7.602
Cr 0.000 0.000 0.000
Mn 1.756 1.242 3.041
```

***

# 7
This record from the Alexandria database describes a relaxed structure of Mn3CrO. The functional is GGA+U. Values from VASP.

Values from the calculation:
* D(E_F): 3.63 states/eV/cell
* total energy: -5.636 eV per atom

Structure (Quantum ESPRESSO input):
```
&SYSTEM
  ibrav = 0, nat = 5, ntyp = 3
/
ATOMIC_SPECIES
Mn 54.94 Mn.upf
Cr 52.00 Cr.upf
O 16.00 O.upf
CELL_PARAMETERS angstrom
-0.347 4.886 0.726
-4.065 0.130 -2.824
-2.806 -0.794 4.002
ATOMIC_POSITIONS angstrom
Mn -1.403 -0.397 2.001
Mn -2.032 0.065 -1.412
Mn -0.174 2.443 0.363
Cr 0.000 0.000 0.000
O -3.609 2.111 0.952
```

***

# 8
This record from the Alexandria database describes a relaxed structure of Mn2CrO4. The functional is GGA+U. Values from VASP.

Values from the calculation:
* total energy: -7.831 eV per atom

Structure (Quantum ESPRESSO input):
```
&SYSTEM
  ibrav = 0, nat = 28, ntyp = 3
/
ATOMIC_SPECIES
Mn 54.94 Mn.upf
O 16.00 O.upf
Cr 52.00 Cr.upf
CELL_PARAMETERS angstrom
6.054 0.005 0.011
2.917 5.331 0.012
2.814 1.478 10.057
ATOMIC_POSITIONS angstrom
Mn 4.434 0.742 5.034
Mn 4.448 2.601 1.914
Mn 10.307 6.065 6.952
Mn 4.310 2.517 7.548
Mn 7.475 4.298 2.532
Mn 7.338 4.214 8.166
Mn 3.027 0.003 0.006
Mn 1.478 0.750 3.128
O 1.526 0.901 1.039
O 4.495 0.713 1.107
O 6.177 3.518 1.297
O 5.609 3.297 8.783
O 7.291 6.102 8.973
O 10.259 5.914 9.041
O 7.408 4.349 6.071
O 8.822 4.985 3.760
O 2.963 1.829 6.320
O 6.086 5.069 3.847
O 8.982 3.161 8.905
O 7.410 2.627 3.962
O 4.376 4.187 6.118
O 4.378 2.466 4.009
O 5.699 1.746 6.233
O 2.803 3.653 1.175
Cr 0.000 0.000 0.000
Cr 1.459 2.666 0.006
Cr 5.893 3.407 5.040
Cr 2.866 3.405 5.034
```

***

# 9
This record from the Alexandria database describes a relaxed structure of Mn3Cr4O12. The functional is GGA+U. Values from VASP.

Values from the calculation:
* D(E_F): 4.71 states/eV/cell
* total energy: -7.495 eV per atom

Structure (Quantum ESPRESSO input):
```
&SYSTEM
  ibrav = 0, nat = 19, ntyp = 3
/
ATOMIC_SPECIES
O 16.00 O.upf
Cr 52.00 Cr.upf
Mn 54.94 Mn.upf
CELL_PARAMETERS angstrom
-1.739 0.457 -6.135
3.684 -5.164 0.791
-5.215 -0.522 3.660
ATOMIC_POSITIONS angstrom
O -4.405 -0.919 -2.689
O -3.598 -2.692 -0.829
O -4.319 -0.947 1.152
O 1.135 -4.310 1.005
O 1.049 -4.282 -2.835
O -1.774 -1.801 0.941
O 0.328 -2.537 -0.854
O -1.827 -0.895 -1.771
O -0.929 -1.320 -4.275
O -1.443 -4.334 0.088
O -1.496 -3.428 -2.624
O -2.341 -3.909 2.591
Cr -2.608 -0.261 1.830
Cr -1.635 -2.614 -0.842
Cr -0.869 0.229 -3.067
Cr 1.842 -2.582 0.396
Mn 0.973 -2.353 -2.672
Mn -0.766 -2.843 2.226
Mn -3.477 -0.032 -1.237
```

***

# 10
This record from the Alexandria database describes a relaxed structure of Mn3CrO6. The functional is GGA+U. Values from VASP.

Values from the calculation:
* D(E_F): 3.78 states/eV/cell
* total energy: -7.603 eV per atom

Structure (Quantum ESPRESSO input):
```
&SYSTEM
  ibrav = 0, nat = 10, ntyp = 3
/
ATOMIC_SPECIES
Mn 54.94 Mn.upf
Cr 52.00 Cr.upf
O 16.00 O.upf
CELL_PARAMETERS angstrom
5.152 0.000 0.000
2.576 4.461 0.000
2.576 1.487 4.661
ATOMIC_POSITIONS angstrom
Mn 5.152 2.974 0.303
Mn 2.576 1.487 2.500
Mn 5.152 2.974 4.310
Cr 7.727 4.461 2.144
O 6.966 2.850 1.219
O 3.276 3.078 3.464
O 5.999 1.298 3.464
O 4.352 4.608 1.219
O 6.179 4.546 3.464
O 4.137 1.465 1.219
```

***

# 11
This record from the Alexandria database describes a relaxed structure of MnCrO4. The functional is GGA+U. Values from VASP.

Values from the calculation:
* total energy: -7.220 eV per atom

Structure (Quantum ESPRESSO input):
```
&SYSTEM
  ibrav = 0, nat = 24, ntyp = 3
/
ATOMIC_SPECIES
O 16.00 O.upf
Cr 52.00 Cr.upf
Mn 54.94 Mn.upf
CELL_PARAMETERS angstrom
4.731 5.115 -0.029
-4.731 5.115 -0.029
0.000 1.646 6.762
ATOMIC_POSITIONS angstrom
O 1.371 7.305 3.184
O 1.395 7.927 6.028
O 0.000 3.546 5.589
O -1.395 7.927 6.028
O -1.371 7.305 3.184
O -3.249 6.002 5.517
O 1.395 3.949 0.676
O 1.371 4.571 3.520
O 0.000 2.231 3.119
O 0.000 9.645 3.585
O 3.249 6.002 5.517
O -3.249 5.875 1.187
O 3.249 5.875 1.187
O -1.371 4.571 3.520
O 0.000 8.331 1.115
O -1.395 3.949 0.676
Cr -2.315 5.115 -0.029
Cr 0.000 3.777 3.958
Cr 0.000 8.100 2.746
Cr 2.315 5.115 -0.029
Mn 0.000 2.344 0.868
Mn 0.000 9.532 5.836
Mn 2.977 5.938 3.352
Mn -2.977 5.938 3.352
```

***

# 12
This record from the Alexandria database describes a relaxed structure of MnCrO4. The functional is GGA+U. Values from VASP.

Values from the calculation:
* total energy: -7.231 eV per atom

Structure (Quantum ESPRESSO input):
```
&SYSTEM
  ibrav = 0, nat = 12, ntyp = 3
/
ATOMIC_SPECIES
Mn 54.94 Mn.upf
Cr 52.00 Cr.upf
O 16.00 O.upf
CELL_PARAMETERS angstrom
5.133 0.001 0.000
-2.038 4.711 0.000
0.000 0.000 6.685
ATOMIC_POSITIONS angstrom
Mn 5.133 0.001 6.685
Mn 5.133 0.001 3.343
Cr 2.578 1.678 5.014
Cr 0.516 3.033 1.671
O 2.094 3.687 1.671
O 3.381 1.151 6.349
O 3.381 1.151 3.679
O 1.000 1.024 5.014
O 2.552 3.386 5.014
O 0.543 1.325 1.671
O -0.286 3.560 3.006
O -0.286 3.560 0.337
```

***

# 13
This record from the Alexandria database describes a relaxed structure of MnCr3O. The functional is GGA+U. Values from VASP.

Values from the calculation:
* D(E_F): 0.87 states/eV/cell
* total energy: -6.872 eV per atom

Structure (Quantum ESPRESSO input):
```
&SYSTEM
  ibrav = 0, nat = 5, ntyp = 3
/
ATOMIC_SPECIES
Cr 52.00 Cr.upf
O 16.00 O.upf
Mn 54.94 Mn.upf
CELL_PARAMETERS angstrom
-1.347 -3.119 2.691
4.100 -0.747 1.187
-0.390 2.915 3.183
ATOMIC_POSITIONS angstrom
Cr 2.050 -0.373 0.593
Cr -0.673 -1.559 1.345
Cr -0.195 1.457 1.591
O 0.000 0.000 0.000
Mn 1.182 -0.475 3.530
```

***

# 14
This record from the Alexandria database describes a relaxed structure of MnCr2O4. The functional is GGA+U. Values from VASP.

Values from the calculation:
* D(E_F): 0.00 states/eV/cell
* total energy: -7.998 eV per atom

Structure (Quantum ESPRESSO input):
```
&SYSTEM
  ibrav = 0, nat = 14, ntyp = 3
/
ATOMIC_SPECIES
O 16.00 O.upf
Mn 54.94 Mn.upf
Cr 52.00 Cr.upf
CELL_PARAMETERS angstrom
6.087 0.000 0.007
0.000 6.088 0.000
3.038 -3.044 4.308
ATOMIC_POSITIONS angstrom
O 4.560 -1.353 4.191
O 4.565 4.397 0.125
O 3.210 3.044 2.037
O 5.915 0.000 2.279
O 4.565 1.691 0.125
O 4.560 1.353 4.191
O 5.916 3.044 2.040
O 3.209 0.000 2.276
Mn 7.605 3.044 3.238
Mn 1.520 0.000 1.078
Cr 6.087 3.044 0.007
Cr 4.563 1.522 2.158
Cr 6.081 0.000 4.312
Cr 4.563 4.566 2.158
```

***

# 15
This record from the Alexandria database describes a relaxed structure of MnCr2OsO8. The functional is GGA+U. Values from VASP.

Values from the calculation:
* D(E_F): 3.12 states/eV/cell
* total energy: -7.562 eV per atom

Structure (Quantum ESPRESSO input):
```
&SYSTEM
  ibrav = 0, nat = 12, ntyp = 4
/
ATOMIC_SPECIES
O 16.00 O.upf
Os 190.23 Os.upf
Cr 52.00 Cr.upf
Mn 54.94 Mn.upf
CELL_PARAMETERS angstrom
-0.185 -3.598 -2.791
0.477 -2.734 3.618
-6.044 -0.194 0.651
ATOMIC_POSITIONS angstrom
O -4.602 -3.577 -1.078
O 0.206 -4.468 0.582
O -1.150 -2.949 2.556
O -2.934 -2.003 0.577
O -1.560 -3.480 -1.406
O -2.818 -4.523 0.901
O -5.958 -2.058 0.896
O -4.193 -3.046 2.884
Os 0.000 0.000 0.000
Cr -1.410 -3.216 0.581
Cr -4.342 -3.310 0.897
Mn -3.022 -0.097 0.326
```

***

# 16
This record from the Alexandria database describes a relaxed structure of MnCrOsO6. The functional is GGA+U. Values from VASP.

Values from the calculation:
* D(E_F): 6.12 states/eV/cell
* total energy: -7.581 eV per atom

Structure (Quantum ESPRESSO input):
```
&SYSTEM
  ibrav = 0, nat = 18, ntyp = 4
/
ATOMIC_SPECIES
Mn 54.94 Mn.upf
O 16.00 O.upf
Os 190.23 Os.upf
Cr 52.00 Cr.upf
CELL_PARAMETERS angstrom
5.095 0.000 0.000
-2.547 4.412 0.000
0.000 0.000 9.170
ATOMIC_POSITIONS angstrom
Mn 0.000 0.000 4.585
Mn 0.000 0.000 0.000
O 3.399 2.818 3.350
O 0.955 1.535 3.350
O 1.696 2.818 1.235
O -1.593 2.878 7.935
O -0.852 1.594 5.820
O -0.741 4.353 5.820
O 4.140 1.535 1.235
O 0.852 1.594 7.935
O 1.593 2.878 5.820
O 3.289 0.059 3.350
O 1.806 0.059 1.235
O 0.741 4.353 7.935
Os 2.547 1.471 2.292
Os 0.000 2.942 6.877
Cr 0.000 2.942 2.292
Cr 2.547 1.471 6.877
```

***

# 17
This record from the Alexandria database describes a relaxed structure of Mn2CrOsO6. The functional is GGA+U. Values from VASP.

Values from the calculation:
* D(E_F): 1.04 states/eV/cell
* total energy: -7.814 eV per atom

Structure (Quantum ESPRESSO input):
```
&SYSTEM
  ibrav = 0, nat = 20, ntyp = 4
/
ATOMIC_SPECIES
Mn 54.94 Mn.upf
Os 190.23 Os.upf
O 16.00 O.upf
Cr 52.00 Cr.upf
CELL_PARAMETERS angstrom
5.259 0.000 -0.021
0.000 5.385 0.000
0.015 0.000 7.599
ATOMIC_POSITIONS angstrom
Mn 2.694 2.973 5.672
Mn 2.580 2.412 1.906
Mn 5.217 0.281 5.695
Mn 0.057 5.104 1.883
Os 2.637 0.000 3.789
Os 0.000 2.692 0.000
O 4.632 2.986 1.863
O 4.288 4.376 4.254
O 0.986 1.009 3.324
O 1.672 3.721 3.322
O 3.602 1.663 4.256
O 3.265 0.294 1.905
O 0.965 1.029 0.467
O 4.309 4.356 7.110
O 0.642 2.398 5.715
O 2.010 5.091 5.673
O 3.623 1.684 7.113
O 1.651 3.701 0.465
Cr 2.630 0.000 -0.011
Cr 0.007 2.692 3.800
```

***

# 18
This record from the Alexandria database describes a relaxed structure of MnCrP2O8. The functional is GGA+U. Values from VASP.

Values from the calculation:
* D(E_F): 8.50 states/eV/cell
* total energy: -7.432 eV per atom

Structure (Quantum ESPRESSO input):
```
&SYSTEM
  ibrav = 0, nat = 36, ntyp = 4
/
ATOMIC_SPECIES
P 30.97 P.upf
O 16.00 O.upf
Mn 54.94 Mn.upf
Cr 52.00 Cr.upf
CELL_PARAMETERS angstrom
8.438 0.004 0.003
4.016 7.421 0.003
4.016 2.394 7.024
ATOMIC_POSITIONS angstrom
P 9.438 7.673 1.754
P 8.123 6.338 6.698
P 7.015 2.165 5.268
P 11.237 3.161 3.842
P 5.240 6.644 3.170
P 8.336 3.469 0.352
O 7.575 7.821 6.567
O 7.064 5.307 7.023
O 11.288 2.510 5.288
O 8.665 5.937 5.274
O 5.817 7.533 4.258
O 6.290 5.473 3.045
O 5.176 4.082 0.749
O 8.028 7.838 1.232
O 5.178 7.327 1.739
O 7.078 3.325 4.200
O 7.805 3.828 1.794
O 10.195 4.340 3.921
O 4.242 3.591 3.623
O 10.712 2.241 2.761
O 10.482 7.166 0.672
O 6.052 1.551 2.232
O 5.987 2.650 6.376
O 9.393 4.526 0.082
O 8.908 1.991 0.454
O 12.262 6.184 3.431
O 8.448 2.047 5.759
O 9.343 6.540 2.845
O 11.270 5.777 6.323
O 10.440 8.296 4.749
Mn 10.629 6.338 4.538
Mn 5.844 3.485 2.495
Mn 14.078 8.394 6.010
Cr 16.460 9.815 7.027
Cr 8.235 4.910 3.516
Cr 2.343 1.397 1.000
```